A plane-wave DFT calculation with PBE was carried out for a geometry-optimized Tm2SeI structure.

a = 3.826 Å, b = 3.826 Å, c = 8.439 Å
α = 76.90°, β = 76.90°, γ = 60.00°
Fractional positions:
I 0.499 0.499 0.503
Tm 0.262 0.262 0.215
Tm 0.072 0.072 0.783
Se 0.667 0.667 0.000

Computed properties:
The electronic total energy is -4.59 eV/atom. The distance to the lowest polymorph of the same formula comes out at 0 meV/atom. Its mass density is 8.75 g cm⁻³. The uncorrected formation energy is -1097 meV per atom.